# TbSi3Pt4

A relaxed TbSi3Pt4 crystal (GGA-PBE, OQMD).

a b c (Å): 5.6176 3.7385 7.0546
angles (deg): 90.00 98.31 90.00
Space group Pm (No. 6)
One atom of each set of equivalent atoms:
Tb 0.0000 0.0000 0.0000 (multiplicity 1)
Si 0.3718 0.0000 0.5546 (multiplicity 1)
Si 0.4282 0.5000 0.9996 (multiplicity 1)
Si 0.8412 0.5000 0.3693 (multiplicity 1)
Pt 0.1816 0.5000 0.7024 (multiplicity 1)
Pt 0.2465 0.5000 0.3124 (multiplicity 1)
Pt 0.5823 0.0000 0.1899 (multiplicity 1)
Pt 0.8017 0.0000 0.5785 (multiplicity 1)

Summary:
The calculated density comes out at 11.6 g/cm³. The value obtained for the energy is -51.1 eV/f.u.